Entry 1:
DFT (PBE-GGA) results for crystalline Tb2ZrSe at its relaxed geometry.

Output
formation energy from raw total energies = -0.352 eV per atom
symmetry = R-3m

```
Tb2ZrSe
1.0
3.6253 0.0000 0.0000
-1.8127 3.1396 0.0000
0.0000 0.0000 29.7222
Tb Zr Se
6 3 3
direct
0.0000 0.0000 0.1031 Tb
0.0000 0.0000 0.8969 Tb
0.3333 0.6667 0.5636 Tb
0.3333 0.6667 0.7698 Tb
0.6667 0.3333 0.2302 Tb
0.6667 0.3333 0.4364 Tb
0.0000 0.0000 0.0000 Zr
0.3333 0.6667 0.6667 Zr
0.6667 0.3333 0.3333 Zr
0.0000 0.0000 0.5000 Se
0.3333 0.6667 0.1667 Se
0.6667 0.3333 0.8333 Se
```

---

Entry 2:
DFT (PBE-GGA) results for crystalline Tb2Zr2Se7 at its relaxed geometry.

Output
formation energy from raw total energies = -1.484 eV per atom
symmetry = Imm2

```
Tb2Zr2Se7
1.0
-1.9737 7.2369 4.4282
1.9737 -7.2369 4.4282
1.9737 7.2369 -4.4282
Tb Zr Se
2 2 7
direct
0.2285 0.0000 0.2285 Tb
0.7715 0.0000 0.7715 Tb
0.2494 0.2494 0.0000 Zr
0.6918 0.1918 0.5000 Zr
0.0759 0.7070 0.3690 Se
0.3380 0.7070 0.6310 Se
0.4130 0.5169 0.8961 Se
0.6109 0.2910 0.3199 Se
0.6208 0.5169 0.1039 Se
0.9224 0.9224 0.0000 Se
0.9712 0.2910 0.6801 Se
```

---

Entry 3:
DFT (PBE-GGA) results for crystalline TbZrSe4 at its relaxed geometry.

Output
formation energy from raw total energies = -1.194 eV per atom
symmetry = P2_1/c

```
TbZrSe4
1.0
6.7312 0.0000 0.0000
0.0000 6.9055 0.0000
-0.2240 0.0000 6.8109
Tb Zr Se
2 2 8
direct
0.0000 0.0000 0.0000 Tb
0.0000 0.5000 0.5000 Tb
0.5000 0.0000 0.5000 Zr
0.5000 0.5000 0.0000 Zr
0.1378 0.1268 0.3902 Se
0.1378 0.3732 0.8902 Se
0.3704 0.6546 0.3365 Se
0.3704 0.8454 0.8365 Se
0.6296 0.1546 0.1635 Se
0.6296 0.3454 0.6635 Se
0.8622 0.6268 0.1098 Se
0.8622 0.8732 0.6098 Se
```

---

Entry 4:
DFT (PBE-GGA) results for crystalline Tb2ZrSe4 at its relaxed geometry.

Output
formation energy from raw total energies = -1.628 eV per atom
symmetry = C2/m

```
Tb2ZrSe4
1.0
14.6590 0.0000 0.0000
0.0000 4.0412 0.0000
-3.5225 0.0000 6.2757
Tb Zr Se
4 2 8
direct
0.2394 0.0000 0.2265 Tb
0.2606 0.5000 0.7735 Tb
0.7394 0.5000 0.2265 Tb
0.7606 0.0000 0.7735 Tb
0.0000 0.5000 0.5000 Zr
0.5000 0.0000 0.5000 Zr
0.1153 0.5000 0.9342 Se
0.1242 0.0000 0.4689 Se
0.3758 0.5000 0.5311 Se
0.3847 0.0000 0.0658 Se
0.6153 0.0000 0.9342 Se
0.6242 0.5000 0.4689 Se
0.8758 0.0000 0.5311 Se
0.8847 0.5000 0.0658 Se
```

---

Entry 5:
DFT (PBE-GGA) results for crystalline Tc3Se at its relaxed geometry.

Output
formation energy from raw total energies = 0.461 eV per atom
symmetry = R-3m

```
Tc3Se
1.0
8.4523 0.0000 0.0000
-4.2262 7.3199 0.0000
0.0000 0.0000 2.9442
Tc Se
9 3
direct
0.0000 0.5000 0.0000 Tc
0.1667 0.3333 0.3333 Tc
0.1667 0.8333 0.3333 Tc
0.3333 0.1667 0.6667 Tc
0.5000 0.0000 0.0000 Tc
0.5000 0.5000 0.0000 Tc
0.6667 0.8333 0.3333 Tc
0.8333 0.1667 0.6667 Tc
0.8333 0.6667 0.6667 Tc
0.0000 0.0000 0.0000 Se
0.3333 0.6667 0.6667 Se
0.6667 0.3333 0.3333 Se
```

---

Entry 6:
DFT (PBE-GGA) results for crystalline TcSe3 at its relaxed geometry.

Output
formation energy from raw total energies = 0.651 eV per atom
symmetry = P4/mmm

```
TcSe3
1.0
4.6927 0.0000 0.0000
0.0000 4.6927 0.0000
0.0000 0.0000 3.1888
Tc Se
1 3
direct
0.0000 0.0000 0.0000 Tc
0.0000 0.5000 0.5000 Se
0.5000 0.0000 0.5000 Se
0.5000 0.5000 0.0000 Se
```

---

Entry 7:
DFT (PBE-GGA) results for crystalline TcSe4 at its relaxed geometry.

Output
formation energy from raw total energies = 0.451 eV per atom
symmetry = Pm-3m

```
TcSe4
1.0
4.8538 0.0000 0.0000
0.0000 4.8538 0.0000
0.0000 0.0000 4.8538
Tc Se
1 4
direct
0.0000 0.0000 0.0000 Tc
0.0000 0.0000 0.5000 Se
0.0000 0.5000 0.0000 Se
0.5000 0.0000 0.0000 Se
0.5000 0.5000 0.5000 Se
```

---

Entry 8:
DFT (PBE-GGA) results for crystalline Tc7Se at its relaxed geometry.

Output
formation energy from raw total energies = 0.358 eV per atom
symmetry = Fm-3m

```
Tc7Se
1.0
0.0000 3.8968 3.8968
3.8968 0.0000 3.8968
3.8968 3.8968 0.0000
Tc Se
7 1
direct
0.0000 0.0000 0.0000 Tc
0.0000 0.0000 0.5000 Tc
0.0000 0.5000 0.0000 Tc
0.0000 0.5000 0.5000 Tc
0.5000 0.0000 0.0000 Tc
0.5000 0.0000 0.5000 Tc
0.5000 0.5000 0.0000 Tc
0.5000 0.5000 0.5000 Se
```

---

Entry 9:
DFT (PBE-GGA) results for crystalline TcSe3 at its relaxed geometry.

Output
formation energy from raw total energies = 0.570 eV per atom
symmetry = Fm-3m

```
TcSe3
1.0
6.5327 0.0000 0.0000
0.0000 6.5327 0.0000
0.0000 0.0000 6.5327
Tc Se
4 12
direct
0.0000 0.0000 0.0000 Tc
0.0000 0.5000 0.5000 Tc
0.5000 0.0000 0.5000 Tc
0.5000 0.5000 0.0000 Tc
0.0000 0.0000 0.5000 Se
0.0000 0.5000 0.0000 Se
0.2500 0.2500 0.2500 Se
0.2500 0.2500 0.7500 Se
0.2500 0.7500 0.2500 Se
0.2500 0.7500 0.7500 Se
0.5000 0.0000 0.0000 Se
0.5000 0.5000 0.5000 Se
0.7500 0.2500 0.2500 Se
0.7500 0.2500 0.7500 Se
0.7500 0.7500 0.2500 Se
0.7500 0.7500 0.7500 Se
```

---

Entry 10:
DFT (PBE-GGA) results for crystalline TcSe3 at its relaxed geometry.

Output
formation energy from raw total energies = 0.026 eV per atom
symmetry = C2/m

```
TcSe3
1.0
7.1314 0.0000 0.0000
0.0000 3.1041 0.0000
-1.9091 0.0000 7.9162
Tc Se
2 6
direct
0.0000 0.0000 0.0000 Tc
0.5000 0.5000 0.0000 Tc
0.0000 0.5000 0.5000 Se
0.1544 0.5000 0.8255 Se
0.3456 0.0000 0.1745 Se
0.5000 0.0000 0.5000 Se
0.6544 0.0000 0.8255 Se
0.8456 0.5000 0.1745 Se
```

---

Entry 11:
DFT (PBE-GGA) results for crystalline Tc3Se at its relaxed geometry.

Output
formation energy from raw total energies = 0.252 eV per atom
symmetry = P2/m

```
Tc3Se
1.0
2.8901 0.0000 0.0000
0.0000 4.0526 0.0000
-1.2831 0.0000 5.1087
Tc Se
3 1
direct
0.0000 0.0000 0.0000 Tc
0.3822 0.5000 0.7454 Tc
0.6178 0.5000 0.2546 Tc
0.0000 0.0000 0.5000 Se
```

---

Entry 12:
DFT (PBE-GGA) results for crystalline Tc5Se3 at its relaxed geometry.

Output
formation energy from raw total energies = 0.474 eV per atom
symmetry = P6_3/mcm

```
Tc5Se3
1.0
7.0465 0.0000 0.0000
-3.5233 6.1025 0.0000
0.0000 0.0000 5.8206
Tc Se
10 6
direct
0.0000 0.2142 0.2500 Tc
0.0000 0.7858 0.7500 Tc
0.2142 0.0000 0.2500 Tc
0.2142 0.2142 0.7500 Tc
0.3333 0.6667 0.0000 Tc
0.3333 0.6667 0.5000 Tc
0.6667 0.3333 0.0000 Tc
0.6667 0.3333 0.5000 Tc
0.7858 0.0000 0.7500 Tc
0.7858 0.7858 0.2500 Tc
0.0000 0.4125 0.7500 Se
0.0000 0.5875 0.2500 Se
0.4125 0.0000 0.7500 Se
0.4125 0.4125 0.2500 Se
0.5875 0.0000 0.2500 Se
0.5875 0.5875 0.7500 Se
```

---

Entry 13:
DFT (PBE-GGA) results for crystalline Tc5Se at its relaxed geometry.

Output
formation energy from raw total energies = 0.218 eV per atom
symmetry = P-62m

```
Tc5Se
1.0
4.7899 0.0000 0.0000
-2.3949 4.1482 0.0000
0.0000 0.0000 4.4567
Tc Se
5 1
direct
0.0000 0.6601 0.0000 Tc
0.3333 0.6667 0.5000 Tc
0.3399 0.3399 0.0000 Tc
0.6601 0.0000 0.0000 Tc
0.6667 0.3333 0.5000 Tc
0.0000 0.0000 0.5000 Se
```

---

Entry 14:
DFT (PBE-GGA) results for crystalline Tc4Se at its relaxed geometry.

Output
formation energy from raw total energies = 1.348 eV per atom
symmetry = Pm-3m

```
Tc4Se
1.0
4.4942 0.0000 0.0000
0.0000 4.4942 0.0000
0.0000 0.0000 4.4942
Tc Se
4 1
direct
0.0000 0.0000 0.0000 Tc
0.0000 0.5000 0.5000 Tc
0.5000 0.0000 0.5000 Tc
0.5000 0.5000 0.0000 Tc
0.5000 0.5000 0.5000 Se
```

---

Entry 15:
DFT (PBE-GGA) results for crystalline Tc5Se at its relaxed geometry.

Output
formation energy from raw total energies = 0.125 eV per atom
symmetry = P4/mmm

```
Tc5Se
1.0
2.9128 0.0000 0.0000
0.0000 2.9128 0.0000
0.0000 0.0000 10.4014
Tc Se
5 1
direct
0.0000 0.0000 0.0000 Tc
0.0000 0.0000 0.3415 Tc
0.0000 0.0000 0.6585 Tc
0.5000 0.5000 0.1745 Tc
0.5000 0.5000 0.8255 Tc
0.5000 0.5000 0.5000 Se
```

---

Entry 16:
DFT (PBE-GGA) results for crystalline TcSe3 at its relaxed geometry.

Output
formation energy from raw total energies = 0.147 eV per atom
symmetry = Pmmm

```
TcSe3
1.0
2.6414 0.0000 0.0000
0.0000 3.1732 0.0000
0.0000 0.0000 10.3489
Tc Se
1 3
direct
0.0000 0.0000 0.0000 Tc
0.0000 0.0000 0.5000 Se
0.0000 0.5000 0.1906 Se
0.0000 0.5000 0.8094 Se
```

---

Entry 17:
DFT (PBE-GGA) results for crystalline TcSe4 at its relaxed geometry.

Output
formation energy from raw total energies = 0.464 eV per atom
symmetry = Im-3m

```
TcSe4
1.0
6.1038 0.0000 0.0000
0.0000 6.1038 0.0000
0.0000 0.0000 6.1038
Tc Se
2 8
direct
0.0000 0.0000 0.0000 Tc
0.5000 0.5000 0.5000 Tc
0.2500 0.2500 0.2500 Se
0.2500 0.2500 0.7500 Se
0.2500 0.7500 0.2500 Se
0.2500 0.7500 0.7500 Se
0.7500 0.2500 0.2500 Se
0.7500 0.2500 0.7500 Se
0.7500 0.7500 0.2500 Se
0.7500 0.7500 0.7500 Se
```

---

Entry 18:
DFT (PBE-GGA) results for crystalline Tc3Se at its relaxed geometry.

Output
formation energy from raw total energies = 0.099 eV per atom
symmetry = P4/mmm

```
Tc3Se
1.0
2.9754 0.0000 0.0000
0.0000 2.9754 0.0000
0.0000 0.0000 6.6415
Tc Se
3 1
direct
0.0000 0.0000 0.0000 Tc
0.5000 0.5000 0.2589 Tc
0.5000 0.5000 0.7411 Tc
0.0000 0.0000 0.5000 Se
```

---

Entry 19:
DFT (PBE-GGA) results for crystalline TcSe3 at its relaxed geometry.

Output
formation energy from raw total energies = 0.383 eV per atom
symmetry = Im-3m

```
TcSe3
1.0
5.3311 0.0000 0.0000
0.0000 5.3311 0.0000
0.0000 0.0000 5.3311
Tc Se
2 6
direct
0.0000 0.0000 0.0000 Tc
0.5000 0.5000 0.5000 Tc
0.0000 0.0000 0.5000 Se
0.0000 0.5000 0.0000 Se
0.0000 0.5000 0.5000 Se
0.5000 0.0000 0.0000 Se
0.5000 0.0000 0.5000 Se
0.5000 0.5000 0.0000 Se
```

---

Entry 20:
DFT (PBE-GGA) results for crystalline TcSe3 at its relaxed geometry.

Output
formation energy from raw total energies = 0.028 eV per atom
symmetry = R-3m

```
TcSe3
1.0
3.1177 0.0000 0.0000
-1.5589 2.7000 0.0000
0.0000 0.0000 29.7085
Tc Se
3 9
direct
0.0000 0.0000 0.0000 Tc
0.3333 0.6667 0.6667 Tc
0.6667 0.3333 0.3333 Tc
0.0000 0.0000 0.2731 Se
0.0000 0.0000 0.5000 Se
0.0000 0.0000 0.7269 Se
0.3333 0.6667 0.1667 Se
0.3333 0.6667 0.3935 Se
0.3333 0.6667 0.9398 Se
0.6667 0.3333 0.0602 Se
0.6667 0.3333 0.6065 Se
0.6667 0.3333 0.8333 Se
```

---

| no. | N(E_F) (states/eV per atom) |
| --- | --- |
| 1 | 1.07 |
| 2 | 0.23 |
| 3 | 0.65 |
| 4 | 0.16 |
| 5 | 0.82 |
| 6 | 0.80 |
| 7 | 1.05 |
| 8 | 1.82 |
| 9 | 0.91 |
| 10 | 0.79 |
| 11 | 0.92 |
| 12 | 0.86 |
| 13 | 1.19 |
| 14 | 1.03 |
| 15 | 0.79 |
| 16 | 0.82 |
| 17 | 0.96 |
| 18 | 0.76 |
| 19 | 0.96 |
| 20 | 0.87 |